# 1
Here is crystalline SrAgP2O8 at its relaxed geometry from the Alexandria database. Energies are from PBE-GGA. Values from VASP.

Geometry as Quantum ESPRESSO input:
```
&SYSTEM
  ibrav = 0, nat = 12, ntyp = 4
/
ATOMIC_SPECIES
Sr 87.62 Sr.upf
Ag 107.87 Ag.upf
P 30.97 P.upf
O 16.00 O.upf
ATOMIC_POSITIONS angstrom
Sr 0.000 0.000 0.000
Ag 0.000 0.000 3.788
P 2.476 1.430 1.937
P 0.000 2.859 5.639
O 0.000 2.859 7.181
O 0.990 1.272 2.370
O 3.357 0.221 2.370
O 2.476 1.430 0.396
O -0.880 4.068 5.207
O 1.487 3.018 5.207
O -0.606 1.493 5.207
O 3.083 2.796 2.370
CELL_PARAMETERS angstrom
4.953 0.000 0.000
-2.476 4.289 0.000
0.000 0.000 7.577
```

Computed properties:
The uncorrected formation energy comes out at -40.64 kcal/mol of atoms. Its space-group type is P-3.

---

# 2
Here is crystalline LuAg2Au at its relaxed geometry from the Alexandria database. Energies are from PBE-GGA. Values from VASP.

Geometry as Quantum ESPRESSO input:
```
&SYSTEM
  ibrav = 0, nat = 4, ntyp = 3
/
ATOMIC_SPECIES
Lu 174.97 Lu.upf
Au 196.97 Au.upf
Ag 107.87 Ag.upf
ATOMIC_POSITIONS angstrom
Lu 0.000 0.000 0.000
Au 4.398 3.420 2.912
Ag 7.048 2.324 2.265
Ag 1.749 4.515 3.558
CELL_PARAMETERS angstrom
-0.436 3.004 0.333
-0.607 1.158 2.759
9.840 2.678 2.731
```

Computed properties:
The formation energy is 0.187 eV/atom. The calculation puts the offset from the most stable computed form at 0.5212 eV/atom. Its space-group type is R-3m.

---

# 3
Here is crystalline YHfNi3 at its relaxed geometry from the Alexandria database. Energies are from PBE-GGA. Values from VASP.

Geometry as Quantum ESPRESSO input:
```
&SYSTEM
  ibrav = 0, nat = 5, ntyp = 3
/
ATOMIC_SPECIES
Y 88.91 Y.upf
Ni 58.69 Ni.upf
Hf 178.49 Hf.upf
ATOMIC_POSITIONS angstrom
Y 0.000 0.000 0.000
Ni 0.000 2.304 0.000
Ni 0.000 0.000 2.304
Ni 2.304 0.000 0.000
Hf 2.304 2.304 2.304
CELL_PARAMETERS angstrom
4.608 0.000 0.000
0.000 4.608 0.000
0.000 0.000 4.608
```

Computed properties:
The formation energy is 0.976 eV/atom. The calculation puts the offset from the most stable computed form at 0.6372 eV/atom. Its space-group type is Pm-3m.

---

no.,electronic total energy (eV/atom)
1,-6.347
2,-3.189
3,-5.776